Run 1
## CdRe (PBE)

Data for CdRe after structural relaxation.

## Properties
Volume   34 Å³/cell
SG   No. 65

Cell: 2.7455 2.7455 4.8662 Å, 90.00 90.00 110.22°
Sites, in units of the cell vectors:
Re1 0.5000 0.5000 0.5000
Cd1 0.0000 0.0000 0.0000

Run 2
## CdRe (PBE)

Data for CdRe after structural relaxation.

## Properties
Volume   84 Å³/cell
SG   No. 129

Cell: 3.5236 3.5236 6.7960 Å, 90.00 90.00 90.00°
Sites, in units of the cell vectors:
Re1 0.2500 0.7500 0.0000
Re2 0.7500 0.2500 0.0000
Cd1 0.2500 0.2500 0.3590
Cd2 0.7500 0.7500 0.6410

Run 3
## CdRe (PBE)

Data for CdRe after structural relaxation.

## Properties
Volume   99 Å³/cell
SG   No. 194

Cell: 4.6150 4.6150 5.3629 Å, 90.00 90.00 120.00°
Sites, in units of the cell vectors:
Re1 0.3333 0.6667 0.7500
Cd1 0.3333 0.6667 0.2500
Cd2 0.6667 0.3333 0.7500
Re2 0.6667 0.3333 0.2500

Run 4
## CdRe (PBE)

Data for CdRe after structural relaxation.

## Properties
Volume   306 Å³/cell
SG   No. 139

Cell: 8.0338 8.0338 4.7402 Å, 90.00 90.00 90.00°
Sites, in units of the cell vectors:
Cd1 0.5000 0.2154 0.0000
Cd2 0.0000 0.2846 0.5000
Re1 0.6535 0.3465 0.5000
Cd3 0.7154 0.0000 0.5000
Cd4 0.7846 0.5000 0.0000
Re2 0.8465 0.1535 0.0000
Cd5 0.2154 0.5000 0.0000
Cd6 0.5000 0.7846 0.0000
Re3 0.3465 0.3465 0.5000
Re4 0.8465 0.8465 0.0000
Cd7 0.0000 0.7154 0.5000
Cd8 0.2846 0.0000 0.5000
Re5 0.6535 0.6535 0.5000
Re6 0.1535 0.8465 0.0000
Re7 0.3465 0.6535 0.5000
Re8 0.1535 0.1535 0.0000

Order of stability, best first: run 4, run 1, run 2, run 3

Run 1
## CdRe (PBE)

Data for CdRe after structural relaxation.

## Properties
Volume   70 Å³/cell
SG   No. 12

Cell: 5.4236 2.8305 4.7867 Å, 72.80 83.63 90.00°
Sites, in units of the cell vectors:
Cd1 0.9263 0.9976 0.0049
Re1 0.6279 0.2480 0.5039
Re2 0.4555 0.5020 0.9961
Cd2 0.1570 0.7524 0.4951

Run 2
## CdRe (PBE)

Data for CdRe after structural relaxation.

## Properties
Volume   315 Å³/cell
SG   No. 19

Cell: 5.8738 6.9636 7.7014 Å, 90.00 90.00 90.00°
Sites, in units of the cell vectors:
Re1 0.7125 0.6673 0.6731
Cd1 0.0808 0.1970 0.4835
Re2 0.7875 0.3327 0.1731
Cd2 0.9192 0.6970 0.0165
Cd3 0.8024 0.0546 0.8153
Re3 0.9095 0.5839 0.3859
Re4 0.4095 0.9161 0.6141
Re5 0.0905 0.0839 0.1141
Cd4 0.6976 0.9454 0.3153
Re6 0.2125 0.8327 0.3269
Cd5 0.5808 0.3030 0.5165
Re7 0.5905 0.4161 0.8859
Re8 0.2875 0.1673 0.8269
Cd6 0.1976 0.5546 0.6847
Cd7 0.3024 0.4454 0.1847
Cd8 0.4192 0.8030 0.9835

Order of stability, best first: run 1, run 2

Run 1
## CdRe (PBE)

Data for CdRe after structural relaxation.

## Properties
Volume   34 Å³/cell
SG   No. 166

Cell: 5.1827 5.1827 5.1827 Å, 31.80 31.80 31.80°
Sites, in units of the cell vectors:
Cd1 0.0000 0.0000 0.0000
Re1 0.5000 0.5000 0.5000

Run 2
## CdRe (PBE)

Data for CdRe after structural relaxation.

## Properties
Volume   61 Å³/cell
SG   No. 216

Cell: 4.4151 4.4151 4.4151 Å, 60.00 60.00 60.00°
Sites, in units of the cell vectors:
Cd1 0.0000 0.0000 0.0000
Re1 0.2500 0.2500 0.2500

Order of stability, best first: run 1, run 2

Run 1
## CdRe (PBE)

Data for CdRe after structural relaxation.

## Properties
Volume   71 Å³/cell
SG   No. 166

Cell: 2.8667 2.8667 10.0816 Å, 81.83 98.17 120.00°
Sites, in units of the cell vectors:
Cd1 0.0060 0.9940 0.0181
Re1 0.4924 0.5076 0.4771
Re2 0.7576 0.2424 0.2729
Cd2 0.2440 0.7560 0.7319

Run 2
## CdRe (PBE)

Data for CdRe after structural relaxation.

## Properties
Volume   108 Å³/cell
SG   No. 8

Cell: 6.8163 6.8163 5.7793 Å, 75.37 75.37 24.56°
Sites, in units of the cell vectors:
Re1 0.6859 0.6859 0.0931
Re2 0.0700 0.0700 0.4361
Cd1 0.3678 0.3678 0.7444
Cd2 0.3424 0.3424 0.2791
Cd3 0.0176 0.0176 0.9709
Re3 0.6831 0.6831 0.6431

Order of stability, best first: run 1, run 2

Run 1
## CdRe5 (PBE)

Data for CdRe5 after structural relaxation.

## Properties
Volume   105 Å³/cell
SG   No. 191

Cell: 5.1179 5.1179 4.6202 Å, 90.00 90.00 120.00°
Sites, in units of the cell vectors:
Re1 0.5000 0.5000 0.5000
Re2 0.5000 0.0000 0.5000
Re3 0.0000 0.5000 0.5000
Re4 0.3333 0.6667 0.0000
Cd1 0.0000 0.0000 0.0000
Re5 0.6667 0.3333 0.0000

Run 2
## CdRe5 (PBE)

Data for CdRe5 after structural relaxation.

## Properties
Volume   99 Å³/cell
SG   No. 216

Cell: 5.1905 5.1905 5.1905 Å, 60.00 60.00 60.00°
Sites, in units of the cell vectors:
Re1 0.8771 0.3743 0.3743
Re2 0.3743 0.3743 0.8771
Re3 0.3743 0.3743 0.3743
Re4 0.7500 0.7500 0.7500
Re5 0.3743 0.8771 0.3743
Cd1 0.0000 0.0000 0.0000

Order of stability, best first: run 2, run 1

Run 1
## Cd4Re (PBE)

Data for Cd4Re after structural relaxation.

## Properties
Volume   153 Å³/cell
SG   No. 221

Cell: 5.3444 5.3444 5.3444 Å, 90.00 90.00 90.00°
Sites, in units of the cell vectors:
Re1 0.5000 0.5000 0.5000
Cd1 0.0000 0.5000 0.5000
Cd2 0.5000 0.0000 0.5000
Cd3 0.0000 0.0000 0.0000
Cd4 0.5000 0.5000 0.0000

Run 2
## Cd4Re (PBE)

Data for Cd4Re after structural relaxation.

## Properties
Volume   108 Å³/cell
SG   No. 139

Cell: 8.0096 8.0096 8.0096 Å, 152.64 152.64 39.08°
Sites, in units of the cell vectors:
Cd1 0.5904 0.5904 0.0000
Re1 0.0000 0.0000 0.0000
Cd2 0.4096 0.4096 0.0000
Cd3 0.7500 0.2500 0.5000
Cd4 0.2500 0.7500 0.5000

Run 3
## Cd4Re (PBE)

Data for Cd4Re after structural relaxation.

## Properties
Volume   98 Å³/cell
SG   No. 87

Cell: 5.2901 5.2901 5.2901 Å, 98.86 98.86 133.79°
Sites, in units of the cell vectors:
Cd1 0.3950 0.7908 0.1858
Cd2 0.2092 0.3950 0.6041
Re1 0.0000 0.0000 0.0000
Cd3 0.7908 0.6050 0.3959
Cd4 0.6050 0.2092 0.8142

Order of stability, best first: run 3, run 2, run 1

Run 1
## Cd5Re (PBE)

Data for Cd5Re after structural relaxation.

## Properties
Volume   120 Å³/cell
SG   No. 38

Cell: 8.2254 8.2254 5.0380 Å, 90.00 90.00 159.47°
Sites, in units of the cell vectors:
Cd1 0.6636 0.3364 0.0000
Re1 0.8905 0.1095 0.5000
Cd2 0.9948 0.0052 0.0000
Cd3 0.3381 0.6619 0.0000
Cd4 0.2320 0.7680 0.5000
Cd5 0.5478 0.4522 0.5000

Run 2
## Cd5Re (PBE)

Data for Cd5Re after structural relaxation.

## Properties
Volume   124 Å³/cell
SG   No. 216

Cell: 5.5992 5.5992 5.5992 Å, 60.00 60.00 60.00°
Sites, in units of the cell vectors:
Cd1 0.8767 0.3744 0.3744
Re1 0.0000 0.0000 0.0000
Cd2 0.3744 0.8767 0.3744
Cd3 0.7500 0.7500 0.7500
Cd4 0.3744 0.3744 0.8767
Cd5 0.3744 0.3744 0.3744

Order of stability, best first: run 1, run 2

Run 1
## Cd5Re (PBE)

Data for Cd5Re after structural relaxation.

## Properties
Volume   131 Å³/cell
SG   No. 191

Cell: 5.5322 5.5322 4.9566 Å, 90.00 90.00 120.00°
Sites, in units of the cell vectors:
Re1 0.0000 0.0000 0.0000
Cd1 0.3333 0.6667 0.0000
Cd2 0.5000 0.5000 0.5000
Cd3 0.0000 0.5000 0.5000
Cd4 0.6667 0.3333 0.0000
Cd5 0.5000 0.0000 0.5000

Run 2
## Cd5Re (PBE)

Data for Cd5Re after structural relaxation.

## Properties
Volume   119 Å³/cell
SG   No. 8

Cell: 5.8944 5.8944 7.4577 Å, 73.40 73.40 28.78°
Sites, in units of the cell vectors:
Cd1 0.6074 0.6074 0.2624
Re1 0.2765 0.2765 0.9535
Cd2 0.6831 0.6831 0.6825
Cd3 0.3234 0.3234 0.3268
Cd4 0.9490 0.9490 0.6168
Cd5 0.9939 0.9939 0.9913

Order of stability, best first: run 2, run 1